one:
## Li2Ni2SbO6 (GGA+U)

Data for crystalline Li2Ni2SbO6 at its relaxed geometry.

The calculated volume comes out at 10.5 Å³ per atom. The calculation puts the density of states at the Fermi level at 0.285 states/eV per atom.

Structure (extended XYZ):
```
11
Lattice="5.1711 0.0597 0.0194 -2.5039 4.5248 0.0194 -1.0203 -1.7537 4.9128" Properties=species:S:1:pos:R:3 pbc="T T T"
Sb -0.5101 -0.8769 2.4564
O 1.1752 -0.9769 3.5632
O -1.4301 0.5388 3.5632
O 0.4717 3.8077 1.3884
O 3.0770 2.2920 1.3884
O 0.3549 0.6101 1.4190
O 1.2920 2.2207 3.5326
Ni 2.0872 0.6802 2.4758
Ni -0.4403 2.1506 2.4758
Li -1.0865 3.7002 0.0194
Li 3.7536 0.8843 0.0194
```

two:
## Li2Ni2SbO6 (GGA+U)

Data for crystalline Li2Ni2SbO6 at its relaxed geometry.

The calculated volume comes out at 10.8 Å³ per atom.

Structure (extended XYZ):
```
22
Lattice="-1.7818 4.7848 -0.8439 -3.2302 -3.5475 1.9402 2.7199 2.6533 9.3555" Properties=species:S:1:pos:R:3 pbc="T T T"
O -1.4250 0.4973 1.3443
O -1.9936 -2.0670 2.3198
O -0.3725 5.8549 8.0995
O -0.9783 3.4368 0.5467
O -1.3337 3.8981 5.9658
O -0.9243 3.0432 9.2238
O -1.8075 1.0289 6.8345
O -3.0459 2.2688 4.6088
O -0.9644 0.1143 4.5360
O -0.4514 2.9236 3.5073
O 0.8113 1.9723 5.7274
O -1.2670 0.3724 9.9975
Sb 0.9193 7.3226 8.5492
Sb -1.1275 2.0606 5.1873
Ni -0.6458 4.8296 4.2630
Ni -2.7595 -0.8477 1.0380
Ni -1.6166 -0.7546 6.1287
Ni -2.2818 1.9009 0.1197
Li -2.7581 -0.6558 3.7067
Li -2.0415 3.5027 2.3195
Li 0.4706 4.5380 6.7448
Li -0.2559 0.3953 8.1316
```

Relative stability in eV/atom, measured from the most stable structure: one 0.000; two 0.006